# 1
VASP calculation (PBE) on a relaxed ZrMo2P crystal.

Geometry as extended XYZ:
```
8
Lattice="3.797 0.000 0.000 0.000 3.797 0.000 1.898 1.898 9.775" Properties=species:S:1:pos:R:3 pbc="T T T"
P 1.898 1.898 0.000
P 1.898 3.797 4.888
Mo 2.718 0.949 2.444
Mo 1.079 2.847 2.444
Mo 2.847 2.977 7.331
Mo 4.746 4.616 7.331
Zr 0.000 0.000 0.000
Zr 3.797 1.898 4.888
```

Summary:
- N(E_F): 4.705 states/eV/f.u.
- SG: I-42d (122)
- E_tot: -8.834 eV/atom


# 2
VASP calculation (PBE) on a relaxed Fe3Co4Pt crystal.

Geometry as extended XYZ:
```
16
Lattice="3.966 0.000 0.000 0.000 6.117 0.000 0.000 0.000 7.933" Properties=species:S:1:pos:R:3 pbc="T T T"
Co 1.983 4.719 0.000
Co 1.983 4.719 3.966
Co 1.983 1.399 0.000
Co 1.983 1.399 3.966
Co 0.001 4.719 5.950
Co 3.965 4.719 1.983
Co 3.965 1.399 1.983
Co 0.001 1.399 5.950
Fe 0.000 0.000 0.000
Fe 0.000 0.000 3.966
Fe 1.983 0.000 5.950
Fe 1.983 0.000 1.983
Fe 1.984 3.059 5.950
Fe 1.982 3.059 1.983
Pt 0.000 3.059 0.000
Pt 0.000 3.059 3.966
```

Summary:
- N(E_F): 5.472 states/eV/f.u.
- SG: P4/mmm (123)
- E_tot: -7.533 eV/atom


# 3
VASP calculation (PBE) on a relaxed Tb5Pm3Y3 crystal.

Geometry as extended XYZ:
```
11
Lattice="-4.205 3.428 -1.128 1.889 -0.787 -9.433 -6.137 -6.139 4.221" Properties=species:S:1:pos:R:3 pbc="T T T"
Tb -5.564 -2.640 -0.894
Tb -2.889 -0.856 -5.446
Tb -3.247 -0.152 -1.969
Tb -6.586 -2.770 2.519
Tb -0.722 1.140 -7.455
Pm -4.806 -2.693 -3.881
Pm -4.334 -0.518 0.971
Pm -1.416 1.428 -3.993
Y -1.940 -3.163 -2.380
Y 1.026 -0.427 -5.125
Y -3.334 -3.335 2.293
```

Summary:
- N(E_F): 17.717 states/eV/f.u.
- SG: P-62m (189)
- E_tot: -4.365 eV/atom


# 4
VASP calculation (PBE) on a relaxed NaWN2 crystal.

Geometry as extended XYZ:
```
8
Lattice="6.050 0.000 0.000 0.000 6.050 0.000 -3.025 -3.025 4.475" Properties=species:S:1:pos:R:3 pbc="T T T"
Na 3.025 0.000 2.237
Na 0.000 0.000 0.000
W 0.000 3.025 2.237
W 3.025 3.025 0.000
N -0.001 -1.512 3.356
N 1.512 3.024 1.119
N 4.537 3.026 1.119
N 0.001 1.512 3.356
```

Summary:
- N(E_F): 1.736 states/eV/f.u.
- SG: I4_1/amd (141)
- Raw formation energy: -0.97 eV/f.u.
- ΔE to the lowest computed polymorph: 56.3 kJ/mol of formula units
- E_tot: -7.972 eV/atom


# 5
VASP calculation (PBE) on a relaxed Na3Tb3AlO8 crystal.

Geometry as extended XYZ:
```
15
Lattice="-1.750 -6.212 1.767 3.019 4.012 4.424 -6.369 1.265 -1.860" Properties=species:S:1:pos:R:3 pbc="T T T"
Na 0.000 0.000 0.000
Na 1.509 2.006 2.212
Na 0.634 -1.100 3.095
Tb -4.059 -2.474 -0.046
Tb -2.550 -0.468 2.165
Tb -1.675 2.638 1.282
Al -3.185 0.632 -0.930
O -0.703 0.838 2.251
O -4.398 -1.773 2.080
O -1.595 -2.191 3.386
O -3.505 1.256 0.945
O -3.289 -4.442 0.904
O -1.812 3.506 3.427
O -2.307 -0.957 -0.087
O -2.793 0.022 4.418
```

Summary:
- N(E_F): 10.855 states/eV/f.u.
- SG: R-3m (166)
- Raw formation energy: -38.96 eV/f.u.
- E_tot: -6.681 eV/atom


# 6
VASP calculation (PBE) on a relaxed La4NdSm2Dy crystal.

Geometry as extended XYZ:
```
8
Lattice="-0.450 -4.513 2.678 5.204 -0.243 0.464 4.675 5.011 9.229" Properties=species:S:1:pos:R:3 pbc="T T T"
La 7.412 3.564 7.251
La 2.017 -3.310 5.120
La 4.845 -1.176 4.012
La 4.585 1.430 8.359
Nd 2.377 -2.378 1.571
Sm 4.675 5.011 9.229
Sm 2.113 0.249 5.953
Dy 4.940 2.384 4.846
```

Summary:
- N(E_F): 12.084 states/eV/f.u.
- SG: Pmmm (47)
- E_tot: -4.799 eV/atom


# 7
VASP calculation (PBE) on a relaxed CaPdRh2 crystal.

Geometry as extended XYZ:
```
4
Lattice="0.000 3.244 3.244 3.244 0.000 3.244 3.244 3.244 0.000" Properties=species:S:1:pos:R:3 pbc="T T T"
Ca 0.000 0.000 0.000
Rh 1.622 1.622 1.622
Rh 4.865 4.865 4.865
Pd 3.244 3.244 3.244
```

Summary:
- N(E_F): 7.693 states/eV/f.u.
- SG: Fm-3m (225)
- E_tot: -5.457 eV/atom


# 8
VASP calculation (PBE) on a relaxed InTe2Cl crystal.

Geometry as extended XYZ:
```
4
Lattice="3.955 0.000 0.000 0.000 3.955 0.000 0.000 0.000 7.356" Properties=species:S:1:pos:R:3 pbc="T T T"
Cl 1.978 1.978 1.839
Te 0.000 0.000 6.983
Te 0.000 0.000 4.051
In 1.978 1.978 5.517
```

Summary:
- N(E_F): 2.657 states/eV/f.u.
- SG: P4/mmm (123)
- Raw formation energy: -0.28 eV/f.u.
- ΔE to the lowest computed polymorph: 115.3 kJ/mol of formula units
- E_tot: -2.788 eV/atom